Record 1
A relaxed structure of LiAc2Ag2. Source: Alexandria, functional PBE-GGA.

abc: 8.325 8.325 4.415
angles: 90.00 90.00 90.00
Space group P4/mbm (No. 127)
Unique sites:
Li1 0.000 0.000 0.000 [2 per cell]
Ac1 0.172 0.328 0.500 [4 per cell]
Ag1 0.126 0.626 0.000 [4 per cell]

Calculated total energy: -3.3638 eV per atom
Size of the total moment: 0.0 Bohr magnetons per cell
Energy of formation from the pure elements: -197 meV per atom

Record 2
A relaxed structure of YSn3Pd12. Source: Alexandria, functional PBE-GGA.

abc: 4.071 4.071 16.200
angles: 90.00 90.00 90.00
Space group P4/mmm (No. 123)
Unique sites:
Y1 0.000 0.000 0.000 [1 per cell]
Sn1 0.000 0.000 0.253 [2 per cell]
Sn2 0.000 0.000 0.500 [1 per cell]
Pd1 0.000 0.500 0.131 [4 per cell]
Pd2 0.000 0.500 0.376 [4 per cell]
Pd3 0.500 0.500 0.000 [1 per cell]
Pd4 0.500 0.500 0.253 [2 per cell]
Pd5 0.500 0.500 0.500 [1 per cell]

Calculated total energy: -5.6410 eV per atom
Size of the total moment: 0.0 Bohr magnetons per cell
Energy of formation from the pure elements: -592 meV per atom

Record 3
A relaxed structure of Cs5In6Pb. Source: Alexandria, functional PBE-GGA.

abc: 8.222 17.484 9.310
angles: 90.00 111.91 90.00
Space group C2/m (No. 12)
Unique sites:
Cs1 0.000 0.000 0.000 [2 per cell]
Cs2 0.000 0.284 0.000 [4 per cell]
Cs3 0.000 0.362 0.500 [4 per cell]
In1 0.094 0.144 0.679 [8 per cell]
In2 0.134 0.500 0.182 [4 per cell]
Pb1 0.000 0.000 0.500 [2 per cell]

Calculated total energy: -2.0837 eV per atom
Size of the total moment: 0.0 Bohr magnetons per cell
Energy of formation from the pure elements: -50 meV per atom

Record 4
A relaxed structure of LaSbSe. Source: Alexandria, functional PBE-GGA.

abc: 10.992 4.283 8.240
angles: 90.00 109.67 90.00
Space group Cm (No. 8)
Unique sites:
La1 0.000 0.000 0.000 [2 per cell]
La2 0.153 0.000 0.592 [2 per cell]
Sb1 0.249 0.500 0.256 [2 per cell]
Sb2 0.491 0.000 0.288 [2 per cell]
Se1 0.162 0.500 0.877 [2 per cell]
Se2 0.365 0.500 0.619 [2 per cell]

Calculated total energy: -5.3696 eV per atom
Size of the total moment: 0.0 Bohr magnetons per cell
Formation energy without anion corrections: -1.19 eV per atom

Q: What is the formula in the first record?
A: LiAc2Ag2

Q: size of the total moment of number 3 (Cs5In6Pb)?
A: 0.0 Bohr magnetons per cell